First-principles (GGA-PBE) data for a relaxed BP2OsCl crystal, as listed in the Alexandria database.

Lattice parameters (Å, degrees): 3.985 3.985 4.226 90.00 90.00 90.00
Space group P4/mmm (No. 123)
Unique sites:
B1 0.000 0.000 0.000 (multiplicity 1)
P1 0.000 0.500 0.000 (multiplicity 2)
Os1 0.500 0.500 0.500 (multiplicity 1)
Cl1 0.000 0.000 0.500 (multiplicity 1)

Values from the calculation:
relative energy among the computed polymorphs	0	kJ/mol of formula units


First-principles (GGA-PBE) data for a relaxed BPOsCl2 crystal, as listed in the Alexandria database.

Lattice parameters (Å, degrees): 4.957 4.957 4.464 90.00 90.00 90.00
Space group P4/mmm (No. 123)
Unique sites:
B1 0.000 0.000 0.000 (multiplicity 1)
P1 0.500 0.500 0.000 (multiplicity 1)
Os1 0.500 0.500 0.500 (multiplicity 1)
Cl1 0.000 0.500 0.500 (multiplicity 2)

Values from the calculation:
relative energy among the computed polymorphs	0	kJ/mol of formula units


First-principles (GGA-PBE) data for a relaxed Rb2BOsCl6 crystal, as listed in the Alexandria database.

Lattice parameters (Å, degrees): 7.054 7.054 10.039 90.00 90.00 90.00
Space group I4/mmm (No. 139)
Unique sites:
Rb1 0.000 0.500 0.250 (multiplicity 4)
B1 0.000 0.000 0.000 (multiplicity 2)
Os1 0.000 0.000 0.500 (multiplicity 2)
Cl1 0.000 0.000 0.261 (multiplicity 4)
Cl2 0.240 0.240 0.500 (multiplicity 8)


First-principles (GGA-PBE) data for a relaxed RbB2OsCl crystal, as listed in the Alexandria database.

Lattice parameters (Å, degrees): 4.184 4.184 5.399 90.00 90.00 90.00
Space group P4/mmm (No. 123)
Unique sites:
Rb1 0.000 0.000 0.000 (multiplicity 1)
B1 0.000 0.500 0.500 (multiplicity 2)
Os1 0.500 0.500 0.500 (multiplicity 1)
Cl1 0.500 0.500 0.000 (multiplicity 1)


First-principles (GGA-PBE) data for a relaxed BOsRu2Cl crystal, as listed in the Alexandria database.

Lattice parameters (Å, degrees): 4.188 4.188 4.134 90.00 90.00 90.00
Space group P4/mmm (No. 123)
Unique sites:
B1 0.000 0.000 0.000 (multiplicity 1)
Os1 0.000 0.000 0.500 (multiplicity 1)
Ru1 0.000 0.500 0.000 (multiplicity 2)
Cl1 0.500 0.500 0.500 (multiplicity 1)


First-principles (GGA-PBE) data for a relaxed BOsS2Cl crystal, as listed in the Alexandria database.

Lattice parameters (Å, degrees): 4.118 4.118 4.033 90.00 90.00 90.00
Space group P4/mmm (No. 123)
Unique sites:
B1 0.000 0.000 0.000 (multiplicity 1)
Os1 0.500 0.500 0.500 (multiplicity 1)
S1 0.000 0.500 0.000 (multiplicity 2)
Cl1 0.000 0.000 0.500 (multiplicity 1)

Values from the calculation:
relative energy among the computed polymorphs	47	kJ/mol of formula units


First-principles (GGA-PBE) data for a relaxed BOsS2Cl crystal, as listed in the Alexandria database.

Lattice parameters (Å, degrees): 4.527 4.527 5.090 90.00 90.00 90.00
Space group P4/mmm (No. 123)
Unique sites:
B1 0.000 0.000 0.000 (multiplicity 1)
Os1 0.500 0.500 0.500 (multiplicity 1)
S1 0.000 0.500 0.500 (multiplicity 2)
Cl1 0.500 0.500 0.000 (multiplicity 1)

Values from the calculation:
relative energy among the computed polymorphs	0	kJ/mol of formula units


First-principles (GGA-PBE) data for a relaxed SrBOs2Cl crystal, as listed in the Alexandria database.

Lattice parameters (Å, degrees): 4.022 4.022 6.480 90.00 90.00 90.00
Space group P4/mmm (No. 123)
Unique sites:
Sr1 0.000 0.000 0.000 (multiplicity 1)
B1 0.500 0.500 0.500 (multiplicity 1)
Os1 0.000 0.500 0.500 (multiplicity 2)
Cl1 0.500 0.500 0.000 (multiplicity 1)


no.,total DFT energy (no corrections) (eV/atom),formation energy without anion corrections (eV/atom)
1,-4.8827,1.232
2,-4.1690,1.233
3,-3.6801,-0.588
4,-5.1661,0.314
5,-6.6434,1.018
6,-4.3273,1.274
7,-4.4239,1.178
8,-6.3348,0.198